Below is an optimized crystal structure of GeI3Cl, with properties calculated at the PBE-GGA level.

a b c (Å): 6.9731 7.2927 10.8733
angles (deg): 80.98 89.81 89.71
Space group P1 (No. 1)
Inequivalent atoms, fractional coordinates:
Ge  0.0000  0.0000  0.0000 (multiplicity 1)
Ge  0.5002  0.2512  0.4777 (multiplicity 1)
I  0.3476  0.3947  0.2747 (multiplicity 1)
I  0.3572  0.3868  0.6593 (multiplicity 1)
I  0.4588  0.9007  0.5171 (multiplicity 1)
I  0.8481  0.8567  0.2035 (multiplicity 1)
I  0.8571  0.8661  0.8187 (multiplicity 1)
I  0.9575  0.3507  0.9618 (multiplicity 1)
Cl  0.3038  0.9347  0.0076 (multiplicity 1)
Cl  0.8038  0.3147  0.4689 (multiplicity 1)

The value obtained for the formation energy from raw total energies is -0.429 eV/atom. Its polymorph energy (0 for the lowest one) is 0 meV/atom. As for the density of states at the Fermi level: 0.000 states/eV per atom. The calculation puts the total magnetic moment at 0.0 μB per formula unit.

***

Below is an optimized crystal structure of La8Te4IrRh3, with properties calculated at the PBE-GGA level.

a b c (Å): 8.5830 8.5830 22.8739
angles (deg): 90.00 90.00 120.00
Space group R-3m (No. 166, hexagonal axes)
Inequivalent atoms, fractional coordinates:
La  0.0000  0.0000  0.2370 (multiplicity 6)
La  0.0018  0.5009  0.2370 (multiplicity 18)
Te  0.0000  0.0000  0.0000 (multiplicity 3)
Te  0.0000  0.5000  0.0000 (multiplicity 9)
Ir  0.0000  0.0000  0.5000 (multiplicity 3)
Rh  0.0000  0.5000  0.5000 (multiplicity 9)

The value obtained for the formation energy from raw total energies is -1.146 eV/atom. As for the density of states at the Fermi level: 0.644 states/eV per atom. The calculation puts the total magnetic moment at 0.0 μB per formula unit.

***

Below is an optimized crystal structure of SrTiTeO6, with properties calculated at the PBE-GGA level.

a b c (Å): 5.2564 5.2564 10.8228
angles (deg): 90.00 90.00 120.00
Space group P-31c (No. 163)
Inequivalent atoms, fractional coordinates:
Sr  0.0000  0.0000  0.0000 (multiplicity 2)
Ti  0.3333  0.6667  0.2500 (multiplicity 2)
Te  0.3333  0.6667  0.7500 (multiplicity 2)
O  0.0047  0.3848  0.6488 (multiplicity 12)

The value obtained for the formation energy from raw total energies is -2.253 eV/atom. As for the density of states at the Fermi level: 0.000 states/eV per atom. The calculation puts the total magnetic moment at 0.0 μB per formula unit.

***

Below is an optimized crystal structure of Mn2NiRu, with properties calculated at the PBE-GGA level.

a b c (Å): 2.6094 3.5840 5.1255
angles (deg): 90.00 90.00 90.00
Space group Pmmm (No. 47)
Inequivalent atoms, fractional coordinates:
Mn  0.0000  0.0000  0.2420 (multiplicity 2)
Ni  0.5000  0.5000  0.0000 (multiplicity 1)
Ru  0.5000  0.5000  0.5000 (multiplicity 1)

The calculation puts the energy of formation at 0.073 eV per atom. As for the density of states at the Fermi level: 1.287 states/eV per atom. The calculation puts the total magnetic moment at 3.2 μB per formula unit.